Ca2CoPtF: relaxed, PBE with a Hubbard U.

It has space group P4/mmm (No. 123), with a = 4.5007 Å, b = 4.5007 Å, c = 5.0794 Å, α = 90.00°, β = 90.00° and γ = 90.00°. The distinct sites, in fractional coordinates, are Ca at (0.0000, 0.5000, 0.0000), Co at (0.0000, 0.0000, 0.5000), Pt at (0.5000, 0.5000, 0.5000) and F at (0.5000, 0.5000, 0.0000).

For the magnetization, the calculation gives 2.0 Bohr magnetons per cell. For the offset from the most stable computed form, the calculation gives 361 meV per atom. Its total energy is -20.3 eV per cell.